w.
{"formula": "LiTlN2F", "functional": "PBE", "state": "optimized geometry", "lattice_angstrom": [[4.193, 0.000, 0.000], [0.000, 4.193, 0.000], [0.000, 0.000, 3.601]], "species": ["Tl", "N", "N", "Li", "F"], "fractional_positions": [[0.500, 0.500, 0.500], [0.500, 0.000, 0.000], [0.000, 0.500, 0.000], [0.000, 0.000, 0.000], [0.000, 0.000, 0.500]], "m_tot_mub_per_fu": 3.6}

=====

x.
{"formula": "LiTlN2F", "functional": "PBE", "state": "optimized geometry", "lattice_angstrom": [[4.332, 0.000, 0.000], [0.000, 4.332, 0.000], [0.000, 0.000, 4.721]], "species": ["F", "Li", "N", "N", "Tl"], "fractional_positions": [[0.000, 0.000, 0.500], [0.500, 0.500, 0.500], [0.500, 0.000, 0.000], [0.000, 0.500, 0.000], [0.000, 0.000, 0.000]], "m_tot_mub_per_fu": 2.5}

=====

The structures above, arranged from the most stable to the least stable: w, x.